No. 1
Compound: CsCrBrCl2
Source: Alexandria via LeMat-Bulk
Functional: PBE
Structure: optimized geometry

- formation energy (no corrections) (meV/atom) = -1294
- total magnetization (μB/atom) = 0.800

Cell lengths 5.086, 5.086, 5.373 Å; angles 90.00, 90.00, 90.00 degrees
Fractional positions:
Cs (0.000, 0.000, 0.000)
Cr (0.500, 0.500, 0.500)
Br (0.500, 0.500, 0.000)
Cl (0.000, 0.500, 0.500)
Cl (0.500, 0.000, 0.500)

=====

No. 2
Compound: CsNaBiF6
Source: Alexandria via LeMat-Bulk
Functional: PBE
Structure: optimized geometry

- formation energy (no corrections) (meV/atom) = -2467
- total magnetization (μB/atom) = 0.115

Cell lengths 6.137, 6.137, 12.510 Å; angles 90.00, 90.00, 120.00 degrees
Fractional positions:
Cs (0.000, 0.000, 0.000)
Cs (0.000, 0.000, 0.500)
Na (0.333, 0.667, 0.250)
Na (0.667, 0.333, 0.750)
Bi (0.333, 0.667, 0.750)
Bi (0.667, 0.333, 0.250)
F (0.023, 0.395, 0.653)
F (0.023, 0.628, 0.847)
F (0.372, 0.395, 0.847)
F (0.372, 0.977, 0.653)
F (0.395, 0.023, 0.153)
F (0.395, 0.372, 0.347)
F (0.605, 0.628, 0.653)
F (0.605, 0.977, 0.847)
F (0.628, 0.023, 0.347)
F (0.628, 0.605, 0.153)
F (0.977, 0.372, 0.153)
F (0.977, 0.605, 0.347)

=====

No. 3
Compound: LiMn2Cl
Source: Alexandria via LeMat-Bulk
Functional: PBE
Structure: optimized geometry

- formation energy (no corrections) (meV/atom) = -197
- offset from the most stable computed form (kJ/mol of formula units) = 1
- total magnetization (μB/atom) = 0.202

Cell lengths 3.219, 3.219, 7.261 Å; angles 90.00, 90.00, 90.00 degrees
Fractional positions:
Li (0.000, 0.000, 0.000)
Mn (0.000, 0.000, 0.413)
Mn (0.500, 0.500, 0.268)
Cl (0.500, 0.500, 0.926)

=====

Which value of total magnetization does entry 1 give?
0.800 μB/atom

=====

The lowest formation energy (no corrections) belongs to which entry?
CsNaBiF6